ZnCo2Te: optimized geometry, GGA-PBE.

Calculated values
- Space-group type: P4/mmm
- ΔE to the lowest computed polymorph: 0.0532 eV/atom

Cell: 3.142 3.142 5.831 Å, 90.00 90.00 90.00°
Fractional coordinates of all 4 atoms:
Co 0.000 0.000 0.513
Co 0.000 0.000 0.987
Te 0.500 0.500 0.250
Zn 0.500 0.500 0.750

***

Zr2PbW: optimized geometry, GGA-PBE.

Calculated values
- ΔE_f: 0.330 eV per atom
- Space-group type: C2/m

Cell: 4.800 4.800 6.220 Å, 81.55 81.55 39.64°
Fractional coordinates of all 4 atoms:
Pb 0.250 0.250 0.250
Zr 0.008 0.008 0.967
Zr 0.492 0.492 0.533
W 0.750 0.750 0.750

***

YBP2S: optimized geometry, GGA-PBE.

Calculated values
- Space-group type: P4/mmm
- ΔE to the lowest computed polymorph: 0.0000 eV/atom

Cell: 3.970 3.970 5.436 Å, 90.00 90.00 90.00°
Fractional coordinates of all 5 atoms:
Y 0.500 0.500 0.500
P 0.500 0.000 0.000
P 0.000 0.500 0.000
B 0.000 0.000 0.000
S 0.000 0.000 0.500

***

CaHgF2: optimized geometry, GGA-PBE.

Calculated values
- Space-group type: R-3m
- ΔE to the lowest computed polymorph: 1.1108 eV/atom

Cell: 8.533 8.533 8.533 Å, 27.24 27.24 27.24°
Fractional coordinates of all 4 atoms:
Hg 0.500 0.500 0.500
Ca 0.000 0.000 0.000
F 0.083 0.083 0.083
F 0.917 0.917 0.917

***

Dy2ZrCd: optimized geometry, GGA-PBE.

Calculated values
- ΔE_f: 0.259 eV per atom
- Space-group type: R-3m
- ΔE to the lowest computed polymorph: 0.3824 eV/atom

Cell: 3.265 3.265 11.929 Å, 82.14 82.14 60.00°
Fractional coordinates of all 4 atoms:
Dy 0.910 0.910 0.271
Dy 0.090 0.090 0.729
Zr 0.000 0.000 0.000
Cd 0.500 0.500 0.500

***

| no. | D(E_F) (states/eV/f.u.) |
| --- | --- |
| 1 | 2.2 |
| 2 | 3.2 |
| 3 | 2.3 |
| 4 | 2.7 |
| 5 | 5.3 |